Entry 1:
Compound: BeCrIn3
Source: the Alexandria database
Functional: PBEsol
Structure: optimized geometry

## Properties
M_tot   4.6 μB per formula unit
SG   No. 221

```
data_BeCrIn3
_cell_length_a 4.786
_cell_length_b 4.786
_cell_length_c 4.786
_cell_angle_alpha 90.00
_cell_angle_beta 90.00
_cell_angle_gamma 90.00
_space_group_name_H-M_alt 'P 1'
_space_group_IT_number 1
_space_group_name_Hall 'P 1'
loop_
_atom_site_label
_atom_site_type_symbol
_atom_site_fract_x
_atom_site_fract_y
_atom_site_fract_z
_atom_site_occupancy
In1 In 0.000 0.000 0.500 1
In2 In 0.500 0.000 0.000 1
In3 In 0.000 0.500 0.000 1
Be1 Be 0.000 0.000 0.000 1
Cr1 Cr 0.500 0.500 0.500 1
```

Entry 2:
Compound: Be2CrIn
Source: the Alexandria database
Functional: PBEsol
Structure: optimized geometry

## Properties
M_tot   1.6 μB per formula unit
SG   No. 99

```
data_Be2CrIn
_cell_length_a 2.836
_cell_length_b 2.836
_cell_length_c 6.227
_cell_angle_alpha 90.00
_cell_angle_beta 90.00
_cell_angle_gamma 90.00
_space_group_name_H-M_alt 'P 1'
_space_group_IT_number 1
_space_group_name_Hall 'P 1'
loop_
_atom_site_label
_atom_site_type_symbol
_atom_site_fract_x
_atom_site_fract_y
_atom_site_fract_z
_atom_site_occupancy
Be1 Be 0.000 0.000 0.067 1
Be2 Be 0.500 0.500 0.235 1
In1 In 0.500 0.500 0.757 1
Cr1 Cr 0.000 0.000 0.442 1
```

Entry 3:
Compound: Be2CrIn
Source: the Alexandria database
Functional: PBEsol
Structure: optimized geometry

## Properties
M_tot   0.0 μB per formula unit
SG   No. 12

```
data_Be2CrIn
_cell_length_a 2.671
_cell_length_b 4.331
_cell_length_c 4.758
_cell_angle_alpha 98.63
_cell_angle_beta 90.00
_cell_angle_gamma 107.96
_space_group_name_H-M_alt 'P 1'
_space_group_IT_number 1
_space_group_name_Hall 'P 1'
loop_
_atom_site_label
_atom_site_type_symbol
_atom_site_fract_x
_atom_site_fract_y
_atom_site_fract_z
_atom_site_occupancy
Be1 Be 0.266 0.531 0.333 1
Be2 Be 0.734 0.469 0.667 1
Cr1 Cr 0.000 0.000 0.500 1
In1 In 0.500 0.000 0.000 1
```

Entry 4:
Compound: BeCr2In
Source: the Alexandria database
Functional: PBEsol
Structure: optimized geometry

## Properties
M_tot   5.9 μB per formula unit
SG   No. 123
ΔE to the lowest computed polymorph   0 meV/atom

```
data_BeCr2In
_cell_length_a 3.165
_cell_length_b 4.261
_cell_length_c 4.261
_cell_angle_alpha 90.00
_cell_angle_beta 90.00
_cell_angle_gamma 90.00
_space_group_name_H-M_alt 'P 1'
_space_group_IT_number 1
_space_group_name_Hall 'P 1'
loop_
_atom_site_label
_atom_site_type_symbol
_atom_site_fract_x
_atom_site_fract_y
_atom_site_fract_z
_atom_site_occupancy
Be1 Be 0.500 0.000 0.000 1
Cr1 Cr 0.000 0.500 0.000 1
Cr2 Cr 0.000 0.000 0.500 1
In1 In 0.500 0.500 0.500 1
```

Entry 5:
Compound: Be2CrIn
Source: the Alexandria database
Functional: PBEsol
Structure: optimized geometry

## Properties
M_tot   0.8 μB per formula unit
SG   No. 10

```
data_Be2CrIn
_cell_length_a 2.665
_cell_length_b 3.653
_cell_length_c 5.191
_cell_angle_alpha 90.00
_cell_angle_beta 90.31
_cell_angle_gamma 90.00
_space_group_name_H-M_alt 'P 1'
_space_group_IT_number 1
_space_group_name_Hall 'P 1'
loop_
_atom_site_label
_atom_site_type_symbol
_atom_site_fract_x
_atom_site_fract_y
_atom_site_fract_z
_atom_site_occupancy
In1 In 0.000 0.500 0.000 1
Be1 Be 0.990 0.000 0.688 1
Be2 Be 0.010 0.000 0.312 1
Cr1 Cr 0.500 0.500 0.500 1
```

Entry 6:
Compound: BeCr2In
Source: the Alexandria database
Functional: PBEsol
Structure: optimized geometry

## Properties
M_tot   3.9 μB per formula unit
SG   No. 166
ΔE to the lowest computed polymorph   84 meV/atom

```
data_BeCr2In
_cell_length_a 2.876
_cell_length_b 2.876
_cell_length_c 7.848
_cell_angle_alpha 79.44
_cell_angle_beta 79.44
_cell_angle_gamma 60.00
_space_group_name_H-M_alt 'P 1'
_space_group_IT_number 1
_space_group_name_Hall 'P 1'
loop_
_atom_site_label
_atom_site_type_symbol
_atom_site_fract_x
_atom_site_fract_y
_atom_site_fract_z
_atom_site_occupancy
Cr1 Cr 0.735 0.735 0.795 1
Cr2 Cr 0.265 0.265 0.205 1
Be1 Be 0.000 0.000 0.000 1
In1 In 0.500 0.500 0.500 1
```

Entry 7:
Compound: BeCrIn
Source: the Alexandria database
Functional: PBEsol
Structure: optimized geometry

## Properties
M_tot   0.0 μB per formula unit
SG   No. 44

```
data_BeCrIn
_cell_length_a 2.740
_cell_length_b 3.188
_cell_length_c 5.130
_cell_angle_alpha 108.10
_cell_angle_beta 105.49
_cell_angle_gamma 90.00
_space_group_name_H-M_alt 'P 1'
_space_group_IT_number 1
_space_group_name_Hall 'P 1'
loop_
_atom_site_label
_atom_site_type_symbol
_atom_site_fract_x
_atom_site_fract_y
_atom_site_fract_z
_atom_site_occupancy
In1 In 0.667 0.667 0.334 1
Cr1 Cr 0.364 0.364 0.728 1
Be1 Be 0.969 0.969 0.938 1
```

Entry 8:
Compound: BeCrIn2Ir
Source: the Alexandria database
Functional: PBEsol
Structure: optimized geometry

## Properties
M_tot   1.7 μB per formula unit
SG   No. 123

```
data_BeCrIn2Ir
_cell_length_a 4.387
_cell_length_b 4.976
_cell_length_c 4.976
_cell_angle_alpha 90.00
_cell_angle_beta 90.00
_cell_angle_gamma 90.00
_space_group_name_H-M_alt 'P 1'
_space_group_IT_number 1
_space_group_name_Hall 'P 1'
loop_
_atom_site_label
_atom_site_type_symbol
_atom_site_fract_x
_atom_site_fract_y
_atom_site_fract_z
_atom_site_occupancy
Be1 Be 0.500 0.500 0.500 1
Ir1 Ir 0.500 0.000 0.000 1
In1 In 0.000 0.000 0.500 1
In2 In 0.000 0.500 0.000 1
Cr1 Cr 0.000 0.000 0.000 1
```

Result set for DFT formation energy: 0.709, 0.405, 0.429, 0.591, 0.391, 0.675, 0.482, 1.262 eV per atom, one per record in the order listed.